K2GaHg2: optimized geometry, PBE-GGA.

a b c (Å): 10.215 10.215 10.215
angles (deg): 155.18 155.18 35.39
Positions (direct):
K1 0.103 0.103 0.000
K2 0.897 0.897 0.000
Ga1 0.500 0.500 0.000
Hg1 0.250 0.750 0.500
Hg2 0.750 0.250 0.500

## Properties
theoretical density = 4.86 g cm⁻³
calculated total energy = -1.154 eV/atom
space-group type = I4/mmm (139)
energy of formation = 11 meV/atom
E above lowest polymorph = 0.115 eV/atom
volume = 187.7 Å³/cell